Compound: LaScTl2
Source: Alexandria
Functional: SCAN
Structure: single point on PBEsol structure

Geometry as POSCAR:
```
LaScTl2
1.0
-0.2673 3.3554 0.6423
-2.9417 -1.1230 4.6423
5.3768 0.1233 1.5940
Tl Sc La
2 1 1
Direct
0.0000 0.0000 0.5000 Tl
0.0000 0.5000 0.0000 Tl
0.5000 0.5000 0.5000 Sc
0.5000 0.0000 0.0000 La
```

Values from the calculation:
The spin magnetization comes out at 0.8 μB/cell. The space group is Cmmm (65). The calculated formation energy is -451 meV per atom. The crystal system is orthorhombic.